Entry 1:
KSc2Se3 | PBE | relaxed

Summary:
Crystal system ... monoclinic

Unit cell a=7.162 b=3.919 c=10.657 alpha=90.00 beta=103.53 gamma=90.00
Positions (direct):
K 0.029 0.250 0.340
K 0.971 0.750 0.660
Sc 0.256 0.250 0.995
Sc 0.495 0.250 0.681
Sc 0.505 0.750 0.319
Sc 0.744 0.750 0.005
Se 0.148 0.750 0.141
Se 0.314 0.750 0.520
Se 0.384 0.750 0.847
Se 0.616 0.250 0.153
Se 0.686 0.250 0.480
Se 0.852 0.250 0.859

***

Entry 2:
K2ScSe | PBE | relaxed

Summary:
Crystal system ... monoclinic

Unit cell a=10.859 b=10.859 c=3.981 alpha=100.49 beta=100.49 gamma=19.91
Positions (direct):
K 0.157 0.157 0.156
K 0.843 0.843 0.844
Sc 0.000 0.000 0.500
Se 0.500 0.500 0.000

***

Entry 3:
KSc5Se8 | PBE | relaxed

Summary:
Crystal system ... monoclinic

Unit cell a=10.208 b=10.208 c=9.612 alpha=104.52 beta=104.52 gamma=22.00
Positions (direct):
K 0.000 0.000 0.000
Sc 0.155 0.155 0.464
Sc 0.205 0.205 0.843
Sc 0.500 0.500 0.500
Sc 0.795 0.795 0.157
Sc 0.845 0.845 0.536
Se 0.077 0.077 0.656
Se 0.265 0.265 0.346
Se 0.333 0.333 0.006
Se 0.418 0.418 0.688
Se 0.582 0.582 0.312
Se 0.667 0.667 0.994
Se 0.735 0.735 0.654
Se 0.923 0.923 0.344

***

Entry 4:
KScSe | PBE | relaxed

Summary:
Crystal system ... trigonal
Energy above the most stable polymorph in this dataset ... 0.1471 eV per atom

Unit cell a=3.970 b=3.970 c=7.237 alpha=90.00 beta=90.00 gamma=120.00
Positions (direct):
K 0.000 0.000 0.000
Sc 0.667 0.333 0.479
Se 0.333 0.667 0.662

***

Entry 5:
KScSe2 | PBE | relaxed

Summary:
Crystal system ... orthorhombic

Unit cell a=11.061 b=11.061 c=5.676 alpha=90.00 beta=90.00 gamma=159.96
Positions (direct):
K 0.055 0.945 0.750
K 0.945 0.055 0.250
Sc 0.316 0.684 0.750
Sc 0.684 0.316 0.250
Se 0.099 0.901 0.250
Se 0.200 0.800 0.750
Se 0.800 0.200 0.250
Se 0.901 0.099 0.750

***

Entry 6:
KScSe | PBE | relaxed

Summary:
Crystal system ... tetragonal
Energy above the most stable polymorph in this dataset ... 0.1717 eV per atom

Unit cell a=7.492 b=7.492 c=7.492 alpha=152.28 beta=152.28 gamma=39.61
Positions (direct):
K 0.000 0.000 0.000
Sc 0.738 0.738 0.000
Se 0.315 0.315 0.000

***

Entry 7:
KSc3Se | PBE | relaxed

Summary:
Crystal system ... cubic
Energy above the most stable polymorph in this dataset ... 0.0000 eV per atom

Unit cell a=5.284 b=5.284 c=5.284 alpha=90.00 beta=90.00 gamma=90.00
Positions (direct):
K 0.000 0.000 0.000
Sc 0.000 0.500 0.500
Sc 0.500 0.000 0.500
Sc 0.500 0.500 0.000
Se 0.500 0.500 0.500

***

Entry 8:
KScSe2 | PBE | relaxed

Summary:
Crystal system ... tetragonal

Unit cell a=3.921 b=3.921 c=7.958 alpha=90.00 beta=90.00 gamma=90.00
Positions (direct):
K 0.000 0.000 0.000
Sc 0.500 0.500 0.519
Se 0.000 0.000 0.429
Se 0.500 0.500 0.819

***

no.,calculated volume (Å³/atom),E_form (uncorrected) (eV/atom)
1,24.234,-1.50
2,39.273,-0.54
3,25.912,-1.69
4,32.926,-0.79
5,29.742,-1.15
6,30.278,-0.76
7,29.502,-0.05
8,30.581,-1.32